Entry from Alexandria via LeMat-Bulk: a relaxed PaInAgF6 crystal (PBE).

a = 6.4263 Å, b = 6.4263 Å, c = 10.6329 Å
α = 90.00°, β = 90.00°, γ = 120.00°
Space group P-31c (No. 163)
One atom of each set of equivalent atoms:
1 Pa 0.3333 0.6667 0.2500 (multiplicity 2)
2 In 0.0000 0.0000 0.0000 (multiplicity 2)
3 Ag 0.3333 0.6667 0.7500 (multiplicity 2)
4 F 0.0372 0.3823 0.1376 (multiplicity 12)

Summary:
Energy, eV per atom: -5.62
Formation energy without anion corrections, eV per atom: -2.696
Total moment, μB per formula unit: 1.009
Crystal system: trigonal


Entry from Alexandria via LeMat-Bulk: a relaxed InAg2PbF8 crystal (PBE).

a = 4.615 Å, b = 5.567 Å, c = 7.527 Å
α = 93.54°, β = 90.12°, γ = 92.74°
Space group P-1 (No. 2)
One atom of each set of equivalent atoms:
1 In 0.000 0.000 0.000 (multiplicity 1)
2 Ag 0.474 0.491 0.247 (multiplicity 2)
3 Pb 0.000 0.000 0.500 (multiplicity 1)
4 F 0.112 0.776 0.773 (multiplicity 2)
5 F 0.118 0.782 0.208 (multiplicity 2)
6 F 0.377 0.238 0.009 (multiplicity 2)
7 F 0.445 0.262 0.515 (multiplicity 2)

Summary:
Energy, eV per atom: -4.13
Formation energy without anion corrections, eV per atom: -1.872
Total moment, μB per formula unit: 1.051
Crystal system: triclinic


Entry from Alexandria via LeMat-Bulk: a relaxed InAg2PbF6 crystal (PBE).

a = 5.842 Å, b = 7.050 Å, c = 9.141 Å
α = 90.00°, β = 115.93°, γ = 90.00°
Space group P2_1/c (No. 14)
One atom of each set of equivalent atoms:
1 In 0.000 0.000 0.000 (multiplicity 2)
2 Ag 0.334 0.048 0.756 (multiplicity 4)
3 Pb 0.500 0.000 0.500 (multiplicity 2)
4 F 0.076 0.039 0.249 (multiplicity 4)
5 F 0.242 0.740 0.563 (multiplicity 4)
6 F 0.323 0.161 0.023 (multiplicity 4)

Summary:
Energy, eV per atom: -4.07
Formation energy without anion corrections, eV per atom: -1.728
Total moment, μB per formula unit: 0.000
Crystal system: monoclinic


Entry from Alexandria via LeMat-Bulk: a relaxed InAgPdF6 crystal (PBE).

a = 5.216 Å, b = 5.216 Å, c = 10.452 Å
α = 90.00°, β = 90.00°, γ = 90.00°
Space group P4_2nm (No. 102)
One atom of each set of equivalent atoms:
1 In 0.000 0.000 0.000 (multiplicity 2)
2 Ag 0.000 0.000 0.333 (multiplicity 2)
3 Pd 0.000 0.000 0.664 (multiplicity 2)
4 F 0.178 0.178 0.838 (multiplicity 4)
5 F 0.201 0.201 0.145 (multiplicity 4)
6 F 0.213 0.213 0.512 (multiplicity 4)

Summary:
Energy, eV per atom: -4.13
Formation energy without anion corrections, eV per atom: -1.689
Total moment, μB per formula unit: 1.907
Crystal system: tetragonal